1.
Computed, not measured: a relaxed LiEu3 crystal at the PBE level of DFT.

Magnetic moment ... 22.4 Bohr magnetons per cell
E above lowest polymorph ... 63 meV per atom
Energy of formation from the pure elements ... 101 meV per atom
Calculated total energy ... -8.08 eV per atom

Lattice parameters (Å, degrees): 5.3538 5.3538 5.3538 90.00 90.00 90.00
Closest atoms and distances in Å follow each position.
Fractional coordinates of all 4 atoms:
Eu  0.5000  0.5000  0.0000  8 Eu 3.79, 4 Li 3.79
Eu  0.0000  0.5000  0.5000  8 Eu 3.79, 4 Li 3.79
Eu  0.5000  0.0000  0.5000  8 Eu 3.79, 4 Li 3.79
Li  0.0000  0.0000  0.0000  12 Eu 3.79

---

2.
Computed, not measured: a relaxed Ba6Na2HgN crystal at the PBE level of DFT.

Magnetic moment ... 0.0 Bohr magnetons per cell
Energy relative to the elements, uncorrected ... -164 meV per atom
Calculated total energy ... -2.44 eV per atom

Lattice parameters (Å, degrees): 8.6409 8.6409 9.0152 118.67 118.67 90.00
Closest atoms and distances in Å follow each position.
Fractional coordinates of all 10 atoms:
Ba  0.2195  0.2190  0.9957  1 N 2.75
Ba  0.2317  0.2323  0.4634  1 N 2.59
Ba  0.7759  0.7774  0.9952  1 N 2.75
Ba  0.7449  0.7453  0.4896  1 Hg 3.31
Ba  0.2186  0.7766  0.9957  1 N 2.75
Ba  0.7771  0.2200  0.9956  1 N 2.75
Na  0.7502  0.2507  0.5004  12 Ba 4.32-4.55
Na  0.2503  0.7507  0.5004  12 Ba 4.32-4.55
N  0.0361  0.0366  0.0721  5 Ba 2.59-2.75
Hg  0.4948  0.4953  0.9898  6 Ba 3.31-3.49

---

3.
Computed, not measured: a relaxed Mg5SnRh4 crystal at the PBE level of DFT.

Magnetic moment ... 0.0 Bohr magnetons per cell
Energy of formation from the pure elements ... -426 meV per atom
Calculated total energy ... -4.56 eV per atom

Lattice parameters (Å, degrees): 3.2027 3.2027 16.2092 90.00 90.00 90.00
Closest atoms and distances in Å follow each position.
Fractional coordinates of all 10 atoms:
Rh  0.0000  0.0000  0.2174  8 Mg 2.65-2.75
Rh  0.0000  0.0000  0.5934  8 Mg 2.72, 1 Rh 3.03
Rh  0.0000  0.0000  0.7826  8 Mg 2.65-2.75
Rh  0.0000  0.0000  0.4066  8 Mg 2.72, 1 Rh 3.03
Mg  0.5000  0.5000  0.6860  8 Rh 2.72-2.75, 2 Mg 2.95-3.02
Mg  0.5000  0.5000  0.1322  4 Rh 2.65, 1 Mg 2.95
Mg  0.5000  0.5000  0.8678  4 Rh 2.65, 1 Mg 2.95
Mg  0.5000  0.5000  0.5000  8 Rh 2.72, 2 Mg 3.02
Mg  0.5000  0.5000  0.3140  8 Rh 2.72-2.75, 2 Mg 2.95-3.02
Sn  0.0000  0.0000  0.0000  8 Mg 3.12, 4 Sn 3.20

---

4.
Computed, not measured: a relaxed Ce2Ga4AgAu3 crystal at the PBE level of DFT.

Magnetic moment ... 1.9 Bohr magnetons per cell
Energy of formation from the pure elements ... -535 meV per atom
Calculated total energy ... -4.20 eV per atom

Lattice parameters (Å, degrees): 4.4190 4.4190 10.6402 90.00 90.00 90.00
Closest atoms and distances in Å follow each position.
Fractional coordinates of all 10 atoms:
Ag  0.5000  0.5000  0.5000  4 Ga 2.63
Au  0.0000  0.5000  0.1313  5 Ga 2.50-2.61
Au  0.5000  0.0000  0.8687  5 Ga 2.50-2.61
Au  0.0000  0.0000  0.5000  4 Ga 2.63
Ce  0.5000  0.0000  0.2479  6 Au 3.36-3.48, 8 Ga 3.37-3.44, 2 Ag 3.48
Ce  0.0000  0.5000  0.7521  6 Au 3.36-3.48, 8 Ga 3.37-3.44, 2 Ag 3.48
Ga  0.5000  0.0000  0.6337  3 Au 2.50-2.63, 2 Ag 2.63
Ga  0.0000  0.0000  0.0000  4 Au 2.61
Ga  0.5000  0.5000  0.0000  4 Au 2.61
Ga  0.0000  0.5000  0.3663  3 Au 2.50-2.63, 2 Ag 2.63